# 1
CdBPt3 | GGA-PBE | optimized geometry

ΔE_f (eV per atom): 2.215
Offset from the most stable computed form (eV per formula unit): 12.83

Cell lengths 4.986, 4.986, 4.986 Å; angles 90.00, 90.00, 90.00 degrees
Element x y z (fractional)
1 B 0.500 0.500 0.500
2 Pt 0.000 0.500 0.000
3 Pt 0.000 0.000 0.500
4 Pt 0.500 0.000 0.000
5 Cd 0.000 0.000 0.000



# 2
Pu3HPt8 | GGA-PBE | optimized geometry

E_tot (eV/atom): -8.54

Cell lengths 5.434, 5.434, 9.387 Å; angles 73.18, 73.18, 60.00 degrees
Last column: magnetic moment on the atom in μB.
Element x y z (fractional)
1 Pu 0.617 0.617 0.148  5.23
2 Pu 0.004 0.004 0.988  5.17
3 Pu 0.487 0.487 0.539  5.17
4 H 0.189 0.189 0.432  0.00
5 Pt 0.558 0.054 0.831  -0.12
6 Pt 0.053 0.564 0.329  -0.07
7 Pt 0.558 0.558 0.831  -0.12
8 Pt 0.053 0.053 0.329  -0.07
9 Pt 0.806 0.806 0.583  -0.14
10 Pt 0.307 0.307 0.079  -0.08
11 Pt 0.054 0.558 0.831  -0.12
12 Pt 0.564 0.053 0.329  -0.07



# 3
Sn3BrO | GGA-PBE | optimized geometry

Uncorrected formation energy (eV per atom): -0.11
Offset from the most stable computed form (eV per formula unit): 0.00

Cell lengths 5.038, 5.038, 5.038 Å; angles 90.00, 90.00, 90.00 degrees
Last column: magnetic moment on the atom in μB.
Element x y z (fractional)
1 O 0.000 0.000 0.000  0.01
2 Sn 0.000 0.500 0.000  0.15
3 Sn 0.000 0.000 0.500  0.13
4 Sn 0.500 0.000 0.000  0.13
5 Br 0.500 0.500 0.500  0.22



# 4
KCd2B | GGA-PBE | optimized geometry

ΔE_f (eV per atom): 0.391

Cell lengths 6.439, 6.439, 7.546 Å; angles 64.75, 64.75, 90.00 degrees
Element x y z (fractional)
1 K 0.000 0.000 0.000
2 K 0.750 0.250 0.500
3 B 0.500 0.500 0.000
4 B 0.250 0.750 0.500
5 Cd 0.375 0.125 0.250
6 Cd 0.375 0.625 0.250
7 Cd 0.375 0.625 0.750
8 Cd 0.875 0.625 0.750



# 5
MnPb5 | GGA-PBE | optimized geometry

ΔE_f (eV per atom): 0.233

Cell lengths 7.642, 7.642, 4.897 Å; angles 90.00, 90.00, 142.85 degrees
Last column: magnetic moment on the atom in μB.
Element x y z (fractional)
1 Mn 0.000 0.000 0.000  4.04
2 Pb 0.159 0.841 0.500  -0.03
3 Pb 0.343 0.657 0.000  -0.01
4 Pb 0.500 0.500 0.500  -0.02
5 Pb 0.657 0.343 0.000  -0.01
6 Pb 0.841 0.159 0.500  -0.03



# 6
Ho2InNi9 | GGA-PBE | optimized geometry

ΔE_f (eV per atom): -0.271

Cell lengths 4.914, 4.914, 8.566 Å; angles 73.33, 73.33, 60.00 degrees
Last column: magnetic moment on the atom in μB.
Element x y z (fractional)
1 Ho 0.863 0.863 0.410  -0.05
2 Ho 0.137 0.137 0.590  -0.05
3 In 0.000 0.000 0.000  -0.01
4 Ni 0.667 0.667 0.999  0.24
5 Ni 0.333 0.333 0.001  0.24
6 Ni 0.500 0.500 0.500  0.10
7 Ni 0.417 0.417 0.247  0.15
8 Ni 0.919 0.417 0.247  0.15
9 Ni 0.417 0.919 0.247  0.15
10 Ni 0.583 0.583 0.753  0.15
11 Ni 0.583 0.081 0.753  0.15
12 Ni 0.081 0.583 0.753  0.15



# 7
ErZn4Pd8 | GGA-PBE | optimized geometry

ΔE_f (eV per atom): -0.558

Cell lengths 5.312, 6.774, 6.774 Å; angles 81.16, 66.92, 66.92 degrees
Element x y z (fractional)
1 Er 0.000 0.000 0.000
2 Zn 0.000 0.000 0.500
3 Zn 0.500 0.000 0.500
4 Zn 0.000 0.500 0.000
5 Zn 0.500 0.500 0.000
6 Pd 0.000 0.339 0.661
7 Pd 0.000 0.661 0.339
8 Pd 0.339 0.661 0.661
9 Pd 0.661 0.339 0.339
10 Pd 0.500 0.779 0.221
11 Pd 0.500 0.221 0.779
12 Pd 0.279 0.221 0.221
13 Pd 0.721 0.779 0.779



# 8
Rb2Tl3Pb2 | GGA-PBE | optimized geometry

ΔE_f (eV per atom): -0.073
Offset from the most stable computed form (eV per formula unit): 0.02

Cell lengths 4.652, 7.615, 8.737 Å; angles 83.01, 74.56, 72.22 degrees
Element x y z (fractional)
1 Rb 0.811 0.754 0.623
2 Rb 0.189 0.246 0.377
3 Tl 0.500 0.000 0.000
4 Tl 0.529 0.669 0.273
5 Tl 0.471 0.331 0.727
6 Pb 0.825 0.340 0.010
7 Pb 0.175 0.660 0.990



# 9
BaCoTeI2 | GGA-PBE | optimized geometry

Uncorrected formation energy (eV per atom): -0.64
Offset from the most stable computed form (eV per formula unit): 0.00

Cell lengths 5.572, 5.572, 5.277 Å; angles 90.00, 90.00, 90.00 degrees
Last column: magnetic moment on the atom in μB.
Element x y z (fractional)
1 I 0.000 0.500 0.000  0.04
2 I 0.500 0.000 0.000  0.04
3 Te 0.000 0.000 0.500  0.14
4 Co 0.000 0.000 0.000  1.77
5 Ba 0.500 0.500 0.500  0.01



# 10
BeAgC2Se | GGA-PBE | optimized geometry

Uncorrected formation energy (eV per atom): 2.48

Cell lengths 3.736, 6.194, 3.736 Å; angles 90.00, 90.00, 90.00 degrees
Last column: magnetic moment on the atom in μB.
Element x y z (fractional)
1 Be 0.500 0.500 0.500  0.01
2 C 0.000 0.000 0.500  0.10
3 C 0.500 0.000 0.000  0.10
4 Se 0.000 0.000 0.000  0.01
5 Ag 0.000 0.500 0.000  0.01



# 11
Li6TeN4 | GGA-PBE | optimized geometry

Uncorrected formation energy (eV per atom): -0.33

Cell lengths 6.821, 6.821, 4.947 Å; angles 90.00, 90.00, 90.00 degrees
Element x y z (fractional)
1 Li 0.500 0.000 0.575
2 Li 0.000 0.500 0.925
3 Li 0.000 0.500 0.425
4 Li 0.500 0.000 0.075
5 Li 0.213 0.213 0.500
6 Li 0.787 0.787 0.500
7 Li 0.713 0.713 0.000
8 Li 0.287 0.287 0.000
9 Li 0.213 0.787 0.500
10 Li 0.787 0.213 0.500
11 Li 0.713 0.287 0.000
12 Li 0.287 0.713 0.000
13 Te 0.500 0.500 0.500
14 Te 0.000 0.000 0.000
15 N 0.500 0.251 0.299
16 N 0.500 0.749 0.299
17 N 0.000 0.751 0.201
18 N 0.000 0.249 0.201
19 N 0.251 0.500 0.701
20 N 0.749 0.500 0.701
21 N 0.751 0.000 0.799
22 N 0.249 0.000 0.799



# 12
Ag2Au2F7 | GGA-PBE | optimized geometry

Uncorrected formation energy (eV per atom): -0.88
Offset from the most stable computed form (eV per formula unit): 0.98

Cell lengths 6.492, 5.376, 5.376 Å; angles 101.01, 94.20, 94.20 degrees
Last column: magnetic moment on the atom in μB.
Element x y z (fractional)
1 Ag 0.000 0.280 0.720  0.09
2 Ag 0.000 0.720 0.280  0.09
3 Au 0.488 0.309 0.309  0.02
4 Au 0.512 0.691 0.691  0.02
5 F 0.787 0.890 0.557  0.03
6 F 0.213 0.443 0.110  0.03
7 F 0.213 0.110 0.443  0.03
8 F 0.787 0.557 0.890  0.03
9 F 0.500 0.000 0.000  0.00
10 F 0.198 0.657 0.657  0.01
11 F 0.802 0.343 0.343  0.01



no.,size of the total moment (μB/cell)
1,0.0
2,15.6
3,1.2
4,0.0
5,4.1
6,1.3
7,0.0
8,0.0
9,2.2
10,0.4
11,0.0
12,0.3